1.
# BaHf2PtSe

Crystalline BaHf2PtSe at its relaxed geometry (PBE, the Alexandria database). Values from VASP.

Structure (Quantum ESPRESSO input):
```
&SYSTEM
  ibrav = 0, nat = 5, ntyp = 4
/
ATOMIC_SPECIES
Hf 178.49 Hf.upf
Ba 137.33 Ba.upf
Pt 195.08 Pt.upf
Se 78.96 Se.upf
CELL_PARAMETERS angstrom
-1.632 -1.280 4.956
5.029 0.643 1.822
-1.024 5.178 1.000
ATOMIC_POSITIONS angstrom
Hf -0.816 -0.640 2.478
Ba 0.000 0.000 0.000
Hf -0.512 2.589 0.500
Pt 1.187 2.271 3.889
Se 2.514 0.321 0.911
```

formation energy (no corrections) = 2.08 eV per atom
M_tot = 0.000 μB/cell
density = 8.2 g/cm³

---

2.
# BaHfTlPt2

Crystalline BaHfTlPt2 at its relaxed geometry (PBE, the Alexandria database). Values from VASP.

Structure (Quantum ESPRESSO input):
```
&SYSTEM
  ibrav = 0, nat = 5, ntyp = 4
/
ATOMIC_SPECIES
Ba 137.33 Ba.upf
Hf 178.49 Hf.upf
Pt 195.08 Pt.upf
Tl 204.38 Tl.upf
CELL_PARAMETERS angstrom
5.153 0.000 0.000
0.000 5.761 0.000
0.000 0.000 5.153
ATOMIC_POSITIONS angstrom
Ba 0.000 2.881 0.000
Hf 2.577 2.881 2.577
Pt 0.000 0.000 2.577
Tl 0.000 0.000 0.000
Pt 2.577 0.000 0.000
```

energy of formation = 1078 meV/atom
M_tot = 1.245 μB/cell
density = 9.9 g/cm³

---

no.,DOS at the Fermi energy (states/eV per atom)
1,1.152
2,1.084